# 1
# CdGe2Pt | Alexandria via LeMat-Bulk | PBE | optimized geometry
# Formation energy in meV/atom: -7.9
# Calculated volume in Å³ per cell: 323.4
data_CdGe2Pt
_space_group_name_H-M_alt 'I -4 2 d'
_space_group_IT_number 122
_space_group_name_Hall 'I -4 2bw'
_cell_length_a 4.386
_cell_length_b 4.386
_cell_length_c 16.811
_cell_angle_alpha 90.00
_cell_angle_beta 90.00
_cell_angle_gamma 90.00
loop_
_atom_site_label
_atom_site_type_symbol
_atom_site_fract_x
_atom_site_fract_y
_atom_site_fract_z
Cd1 Cd 0.000 0.000 0.000
Ge1 Ge 0.203 0.250 0.625
Pt1 Pt 0.000 0.000 0.500

---

# 2
# CdGePt2 | Alexandria via LeMat-Bulk | PBE | optimized geometry
# Formation energy in meV/atom: -273.5
# Calculated volume in Å³ per cell: 67.6
# Energy relative to the lowest polymorph listed for this composition in meV/atom: 132
data_CdGePt2
_space_group_name_H-M_alt 'P 4/m m m'
_space_group_IT_number 123
_space_group_name_Hall '-P 4 2'
_cell_length_a 3.112
_cell_length_b 3.112
_cell_length_c 6.983
_cell_angle_alpha 90.00
_cell_angle_beta 90.00
_cell_angle_gamma 90.00
loop_
_atom_site_label
_atom_site_type_symbol
_atom_site_fract_x
_atom_site_fract_y
_atom_site_fract_z
Cd1 Cd 0.000 0.000 0.000
Ge1 Ge 0.000 0.000 0.500
Pt1 Pt 0.500 0.500 0.284

---

# 3
# Cd2GePt | Alexandria via LeMat-Bulk | PBE | optimized geometry
# Formation energy in meV/atom: -6.8
# Calculated volume in Å³ per cell: 407.3
data_Cd2GePt
_space_group_name_H-M_alt 'I -4 2 d'
_space_group_IT_number 122
_space_group_name_Hall 'I -4 2bw'
_cell_length_a 9.319
_cell_length_b 9.319
_cell_length_c 4.690
_cell_angle_alpha 90.00
_cell_angle_beta 90.00
_cell_angle_gamma 90.00
loop_
_atom_site_label
_atom_site_type_symbol
_atom_site_fract_x
_atom_site_fract_y
_atom_site_fract_z
Cd1 Cd 0.142 0.250 0.125
Ge1 Ge 0.000 0.000 0.500
Pt1 Pt 0.000 0.000 0.000

---

# 4
# CdGe2Pt2 | Alexandria via LeMat-Bulk | PBE | optimized geometry
# Formation energy in meV/atom: -238.0
# Calculated volume in Å³ per cell: 190.9
# Energy relative to the lowest polymorph listed for this composition in meV/atom: 77
data_CdGe2Pt2
_space_group_name_H-M_alt 'I 4/m m m'
_space_group_IT_number 139
_space_group_name_Hall '-I 4 2'
_cell_length_a 4.537
_cell_length_b 4.537
_cell_length_c 9.276
_cell_angle_alpha 90.00
_cell_angle_beta 90.00
_cell_angle_gamma 90.00
loop_
_atom_site_label
_atom_site_type_symbol
_atom_site_fract_x
_atom_site_fract_y
_atom_site_fract_z
Cd1 Cd 0.000 0.000 0.000
Ge1 Ge 0.000 0.000 0.368
Pt1 Pt 0.000 0.500 0.250

---

# 5
# CdGePt2 | Alexandria via LeMat-Bulk | PBE | optimized geometry
# Formation energy in meV/atom: -236.0
# Calculated volume in Å³ per cell: 216.3
# Energy relative to the lowest polymorph listed for this composition in meV/atom: 169
data_CdGePt2
_space_group_name_H-M_alt 'R -3 m'
_space_group_IT_number 166
_space_group_name_Hall '-R 3 2"'
_cell_length_a 4.2004
_cell_length_b 4.2004
_cell_length_c 14.1560
_cell_angle_alpha 90.00
_cell_angle_beta 90.00
_cell_angle_gamma 120.00
loop_
_atom_site_label
_atom_site_type_symbol
_atom_site_fract_x
_atom_site_fract_y
_atom_site_fract_z
Cd1 Cd 0.0000 0.0000 0.0000
Ge1 Ge 0.0000 0.0000 0.5000
Pt1 Pt 0.0000 0.0000 0.2255

---

# 6
# CdGe2Pt2 | Alexandria via LeMat-Bulk | PBE | optimized geometry
# Formation energy in meV/atom: -125.4
# Calculated volume in Å³ per cell: 179.1
# Energy relative to the lowest polymorph listed for this composition in meV/atom: 189
data_CdGe2Pt2
_space_group_name_H-M_alt 'P 4/m b m'
_space_group_IT_number 127
_space_group_name_Hall '-P 4 2ab'
_cell_length_a 8.001
_cell_length_b 8.001
_cell_length_c 2.799
_cell_angle_alpha 90.00
_cell_angle_beta 90.00
_cell_angle_gamma 90.00
loop_
_atom_site_label
_atom_site_type_symbol
_atom_site_fract_x
_atom_site_fract_y
_atom_site_fract_z
Cd1 Cd 0.000 0.000 0.000
Ge1 Ge 0.132 0.368 0.000
Pt1 Pt 0.164 0.664 0.500

---

Number 1: mass density 9.30 g/cm³. Number 2: mass density 14.13 g/cm³. Number 3: mass density 8.03 g/cm³. Number 4: mass density 11.27 g/cm³. Number 5: mass density 13.25 g/cm³. Number 6: mass density 12.01 g/cm³.